# Mg2CuAsRh

Mg2CuAsRh at its PBEsol-relaxed geometry (SCAN, Alexandria).

Lattice parameters (Å, degrees): 4.317 4.849 4.849 90.00 90.00 90.00
Site moments in Bohr magnetons follow the coordinates.
Sites, in units of the cell vectors:
As 0.000 0.000 0.000  0.04
Rh 0.500 0.500 0.500  1.15
Mg 0.000 0.000 0.500  -0.01
Mg 0.000 0.500 0.000  -0.01
Cu 0.500 0.000 0.000  0.04

Output
- VASP energy: -76.784 eV/cell
- Crystal system: tetragonal
- Energy of formation: 0.47 eV/atom
- D(E_F): 0.570 states/eV per atom
- Space-group type: P4/mmm, No. 123

***

# Y2MgCuAs

Y2MgCuAs at its PBEsol-relaxed geometry (SCAN, Alexandria).

Lattice parameters (Å, degrees): 4.593 5.434 5.434 90.00 90.00 90.00
Sites, in units of the cell vectors:
Y 0.000 0.000 0.500
Y 0.000 0.500 0.000
As 0.500 0.000 0.000
Mg 0.000 0.000 0.000
Cu 0.500 0.500 0.500

Output
- VASP energy: -92.837 eV/cell
- Crystal system: tetragonal
- Energy of formation: 0.64 eV/atom
- D(E_F): 0.823 states/eV per atom
- Space-group type: P4/mmm, No. 123

***

# MnCuAs2

MnCuAs2 at its PBEsol-relaxed geometry (SCAN, Alexandria).

Lattice parameters (Å, degrees): 4.048 4.547 4.048 63.57 90.00 116.43
Site moments in Bohr magnetons follow the coordinates.
Sites, in units of the cell vectors:
As 0.750 0.500 0.750  -0.09
As 0.250 0.500 0.250  -0.09
Cu 0.500 0.000 0.500  -0.06
Mn 0.000 0.000 0.000  3.57

Output
- VASP energy: -73.654 eV/cell
- Crystal system: tetragonal
- Energy of formation: 0.05 eV/atom
- D(E_F): 0.405 states/eV per atom
- Space-group type: I4/mmm, No. 139

***

# MnCuAs2

MnCuAs2 at its PBEsol-relaxed geometry (SCAN, Alexandria).

Lattice parameters (Å, degrees): 2.813 4.574 4.574 89.86 90.01 90.01
Site moments in Bohr magnetons follow the coordinates.
Sites, in units of the cell vectors:
As 0.000 0.000 0.500  -0.07
As 0.000 0.500 0.000  -0.07
Cu 0.500 0.000 0.000  0.00
Mn 0.500 0.500 0.500  3.71

Output
- VASP energy: -73.887 eV/cell
- Crystal system: orthorhombic
- Energy of formation: -0.01 eV/atom
- D(E_F): 0.336 states/eV per atom
- Space-group type: Cmmm, No. 65

***

# MnCuAs

MnCuAs at its PBEsol-relaxed geometry (SCAN, Alexandria).

Lattice parameters (Å, degrees): 2.817 4.090 4.090 120.00 90.00 90.00
Site moments in Bohr magnetons follow the coordinates.
Sites, in units of the cell vectors:
As 0.828 0.000 0.000  -0.01
Cu 0.837 0.667 0.333  0.03
Mn 0.335 0.333 0.667  3.76

Output
- VASP energy: -53.888 eV/cell
- Crystal system: trigonal
- Energy of formation: -0.08 eV/atom
- D(E_F): 0.428 states/eV per atom
- Space-group type: P3m1, No. 156

***

# MnCuAs2

MnCuAs2 at its PBEsol-relaxed geometry (SCAN, Alexandria).

Lattice parameters (Å, degrees): 4.444 4.444 4.444 60.00 60.00 60.00
Site moments in Bohr magnetons follow the coordinates.
Sites, in units of the cell vectors:
As 0.000 0.000 0.000  -0.11
As 0.750 0.750 0.750  0.00
Cu 0.500 0.500 0.500  0.06
Mn 0.250 0.250 0.250  3.98

Output
- VASP energy: -72.882 eV/cell
- Crystal system: cubic
- Energy of formation: 0.24 eV/atom
- D(E_F): 0.312 states/eV per atom
- Space-group type: F-43m, No. 216

***

# Pr2Mn3Cu9As7

Pr2Mn3Cu9As7 at its PBEsol-relaxed geometry (SCAN, Alexandria).

Lattice parameters (Å, degrees): 3.939 9.711 9.711 120.00 90.00 90.00
Site moments in Bohr magnetons follow the coordinates.
Sites, in units of the cell vectors:
Pr 0.000 0.000 0.000  0.06
Pr 0.500 0.333 0.667  0.03
Mn 0.500 0.575 0.118  4.05
Mn 0.500 0.882 0.456  4.05
Mn 0.500 0.544 0.425  4.05
Cu 0.000 0.619 0.904  0.04
Cu 0.000 0.096 0.715  0.04
Cu 0.000 0.285 0.381  0.04
Cu 0.000 0.385 0.176  0.06
Cu 0.000 0.824 0.209  0.06
Cu 0.000 0.791 0.615  0.06
Cu 0.500 0.246 0.957  0.04
Cu 0.500 0.043 0.289  0.04
Cu 0.500 0.711 0.754  0.04
As 0.000 0.380 0.925  0.01
As 0.000 0.075 0.455  0.01
As 0.000 0.545 0.620  0.01
As 0.500 0.255 0.219  0.00
As 0.500 0.781 0.036  0.00
As 0.500 0.964 0.745  0.00
As 0.000 0.667 0.333  0.03

Output
- VASP energy: -429.248 eV/cell
- Crystal system: hexagonal
- Energy of formation: -0.46 eV/atom
- D(E_F): 0.250 states/eV per atom
- Space-group type: P-6, No. 174

***

# Cu2MoAs

Cu2MoAs at its PBEsol-relaxed geometry (SCAN, Alexandria).

Lattice parameters (Å, degrees): 2.744 2.744 8.694 80.92 80.92 60.00
Sites, in units of the cell vectors:
As 0.000 0.000 0.000
Cu 0.251 0.251 0.246
Cu 0.749 0.749 0.754
Mo 0.500 0.500 0.500

Output
- VASP energy: -84.255 eV/cell
- Crystal system: trigonal
- Energy of formation: 0.30 eV/atom
- D(E_F): 0.548 states/eV per atom
- Space-group type: R-3m, No. 166